This record from the Alexandria database describes a relaxed structure of VP2O7. The functional is PBE+U.

The structure belongs to space group C2/c (No. 15); the cell edges are 15.567, 4.291 and 9.866 Å and the angles 90.00°, 127.34° and 90.00°. The inequivalent atoms are V at (0.000, 0.237, 0.250), P at (0.171, 0.004, 0.156), O at (0.000, 0.382, 0.750), O at (0.093, 0.153, 0.176), O at (0.130, 0.143, 0.489) and O at (0.240, 0.245, 0.807).

As for the energy relative to the lowest polymorph listed for this composition: 43.6 meV/atom. The calculation puts the density at 2.851 Mg/m³.